CsSnHgAu3 | PBE | optimized geometry

Cell lengths 7.4524, 13.4908, 7.8014 Å; angles 90.00, 90.04, 90.00 degrees
Closest atoms and distances in Å follow each position.
Space group C2/c (No. 15)
Symmetry-distinct sites (fractional):
Cs 0.0000 0.2490 0.2500  4 Au 3.73-3.90, 1 Hg 3.97, 1 Sn 4.10
Sn 0.0000 0.0551 0.7500  5 Au 2.66-2.75
Hg 0.0000 0.4568 0.7500  5 Au 2.76-2.81
Au 0.0000 0.2521 0.7500  1 Sn 2.66, 1 Hg 2.76
Au 0.2407 0.0005 0.4999  2 Sn 2.75, 2 Hg 2.81

## Properties
Size of the total moment in μB per formula unit: 0.0
N(E_F) in states/eV/f.u.: 1.67
E_tot in eV per atom: -2.66